Density functional theory data (PBE-GGA) for a relaxed ZrCrGe crystal.

Uncorrected energy ... -7.80 eV/atom
Density ... 7.05 Mg/m³

Cell: 9.660 3.361 6.358 Å, 90.00 99.67 90.00°
Space group Cm (No. 8)
Inequivalent atoms, fractional coordinates:
Zr 0.000 0.000 0.000 (multiplicity 2)
Zr 0.226 0.500 0.361 (multiplicity 2)
Cr 0.057 0.000 0.573 (multiplicity 2)
Cr 0.369 0.000 0.678 (multiplicity 2)
Ge 0.202 0.500 0.832 (multiplicity 2)
Ge 0.439 0.000 0.312 (multiplicity 2)